PmZr2Mo | Alexandria via LeMat-Bulk | PBE-GGA | optimized geometry; space-group type = No. 166; total moment = 0.00 μB per atom; excess energy over the best structure of this formula in the dataset = 256 meV per atom; total DFT energy (no corrections) = -7.833 eV/atom; calculated formation energy = 0.34 eV/atom
1.0
3.2650 0.0000 0.0000
1.6325 2.8275 0.0000
1.6325 0.9425 10.5212
Mo Pm Zr
1 1 2
Direct
0.5000 0.5000 0.5000
0.0000 0.0000 0.0000
0.1020 0.1020 0.6941
0.8980 0.8980 0.3059

=====

ReBW2 | Alexandria via LeMat-Bulk | PBE-GGA | optimized geometry; space-group type = No. 63; total moment = 0.00 μB per atom; total DFT energy (no corrections) = -11.149 eV/atom; calculated formation energy = 0.11 eV/atom
1.0
-3.9043 -1.5233 -2.1976
1.3359 -4.8922 1.0176
-2.9163 2.7076 3.3042
Re W B
2 4 2
Direct
0.7500 0.1468 0.1468
0.2500 0.8532 0.8532
0.2500 0.4867 0.1400
0.7500 0.5133 0.8600
0.7500 0.8600 0.5133
0.2500 0.1400 0.4867
0.5000 0.5000 0.5000
0.0000 0.5000 0.5000

=====

BaSb3Mo | Alexandria via LeMat-Bulk | PBE-GGA | optimized geometry; space-group type = No. 221; total moment = 0.00 μB per atom; uncorrected formation energy = 10.89 eV per formula unit; total DFT energy (no corrections) = -2.847 eV/atom
1.0
-3.9278 -0.0705 -4.4870
-1.2190 -5.7220 1.1570
-4.3188 1.6792 3.7542
Ba Sb Mo
1 3 1
Direct
0.0000 0.0000 0.0000
0.0000 0.0000 0.5000
0.0000 0.5000 0.0000
0.5000 0.0000 0.0000
0.5000 0.5000 0.5000

=====

Number 1: calculated density 7.24 g/cm³. Number 2: calculated density 17.28 g/cm³. Number 3: calculated density 4.69 g/cm³.